Material: LaAlAg4
Method: DFT, SCAN
State: PBEsol geometry

a b c (Å): 5.5128 5.5128 5.5128
angles (deg): 60.00 60.00 60.00
Last column: nearest neighbours and their distance in Å.
Positions (direct):
La1 0.0000 0.0000 0.0000  12 Ag 3.23, 4 Al 3.38
Al1 0.7500 0.7500 0.7500  12 Ag 3.23, 4 La 3.38
Ag1 0.3757 0.3757 0.3757  6 Ag 2.74-2.77
Ag2 0.3757 0.8730 0.3757  6 Ag 2.74-2.77
Ag3 0.8730 0.3757 0.3757  6 Ag 2.74-2.77
Ag4 0.3757 0.3757 0.8730  6 Ag 2.74-2.77

Values from the calculation:
Space-group type = F-43m (216)
M_tot = 0.0 μB/f.u.
Total DFT energy (no corrections) = -29.59 eV per atom
ΔE_f = -0.206 eV/atom

---

Material: La2AlAg
Method: DFT, SCAN
State: PBEsol geometry

a b c (Å): 3.6416 4.9469 5.5544
angles (deg): 90.00 90.00 90.00
Last column: nearest neighbours and their distance in Å.
Positions (direct):
La1 0.0000 0.0000 0.0610  4 Ag 3.15-3.50, 4 Al 3.19, 2 La 3.20
La2 0.0000 0.5000 0.6965  2 La 3.20, 4 Al 3.22-3.43, 4 Ag 3.22
Al1 0.5000 0.5000 0.2192  2 Ag 3.00, 6 La 3.19-3.22
Ag1 0.5000 0.0000 0.5234  2 Al 3.00, 6 La 3.15-3.22

Values from the calculation:
Space-group type = Pmm2 (25)
M_tot = 0.0 μB/f.u.
Total DFT energy (no corrections) = -31.67 eV per atom
ΔE_f = -0.342 eV/atom

---

Material: LaAlAg2
Method: DFT, SCAN
State: PBEsol geometry

a b c (Å): 4.5173 4.5173 5.7228
angles (deg): 66.75 66.75 60.00
Last column: nearest neighbours and their distance in Å.
Positions (direct):
Ag1 0.2372 0.2372 0.2883  3 Al 2.63, 3 Ag 2.76
La1 0.7560 0.7560 0.7320  7 Ag 3.17-3.45, 4 Al 3.18-3.23
Ag2 0.9638 0.9638 0.1087  3 Ag 2.76, 3 Al 2.90
Al1 0.5476 0.5476 0.3571  6 Ag 2.63-2.90

Values from the calculation:
Space-group type = R3m (160)
M_tot = 0.0 μB/f.u.
Total DFT energy (no corrections) = -28.68 eV per atom
ΔE_f = -0.284 eV/atom

---

Material: La2AlAg
Method: DFT, SCAN
State: PBEsol geometry

a b c (Å): 3.7322 5.1231 6.1823
angles (deg): 114.48 107.57 90.00
Last column: nearest neighbours and their distance in Å.
Positions (direct):
Ag1 0.5341 0.5341 0.0682  2 Al 2.62
La1 0.7728 0.2728 0.5455  4 Al 3.24, 4 Ag 3.34-3.60, 4 La 3.41-3.58
Al1 0.2079 0.7079 0.4159  2 Ag 2.62
La2 0.9852 0.9852 0.9704  4 Ag 3.21, 4 La 3.41-3.58, 4 Al 3.49

Values from the calculation:
Space-group type = Imm2 (44)
M_tot = 0.0 μB/f.u.
Total DFT energy (no corrections) = -31.68 eV per atom
ΔE_f = -0.347 eV/atom

---

Material: LaAlAg
Method: DFT, SCAN
State: PBEsol geometry

a b c (Å): 3.5531 4.7489 4.7489
angles (deg): 120.00 90.00 90.00
Last column: nearest neighbours and their distance in Å.
Positions (direct):
La1 0.5000 0.6667 0.3333  6 Ag 3.27, 6 Al 3.27, 2 La 3.55
Al1 0.0000 0.3333 0.6667  3 Ag 2.74
Ag1 0.0000 0.0000 0.0000  3 Al 2.74

Values from the calculation:
Space-group type = P-6m2 (187)
M_tot = 0.2 μB/f.u.
Total DFT energy (no corrections) = -27.84 eV per atom
ΔE_f = -0.427 eV/atom

---

Material: LaAlAg
Method: DFT, SCAN
State: PBEsol geometry

a b c (Å): 3.2978 3.2978 6.4375
angles (deg): 104.84 104.84 90.00
Last column: nearest neighbours and their distance in Å.
Positions (direct):
Ag1 0.0280 0.0280 0.0560  4 Al 2.69
Al1 0.6399 0.6399 0.2798  4 Ag 2.69
La1 0.3321 0.3321 0.6642  4 Al 3.28, 4 La 3.30, 5 Ag 3.31-3.65

Values from the calculation:
Space-group type = I4mm (107)
M_tot = 0.0 μB/f.u.
Total DFT energy (no corrections) = -27.69 eV per atom
ΔE_f = -0.285 eV/atom

---

Material: La2AlAg2
Method: DFT, SCAN
State: PBEsol geometry

a b c (Å): 4.2094 7.7077 7.7077
angles (deg): 90.00 90.00 90.00
Last column: nearest neighbours and their distance in Å.
Positions (direct):
Ag1 0.0000 0.6279 0.1279  1 Ag 2.79, 2 La 2.99, 2 Al 3.03
Ag2 0.0000 0.3721 0.8721  1 Ag 2.79, 2 La 2.99, 2 Al 3.03
Al1 0.0000 0.0000 0.0000  4 Ag 3.03
Al2 0.0000 0.5000 0.5000  4 Ag 3.03
La1 0.5000 0.8229 0.3229  6 Ag 2.99-3.18
La2 0.5000 0.1771 0.6771  6 Ag 2.99-3.18
Ag3 0.0000 0.8721 0.6279  1 Ag 2.79, 2 La 2.99, 2 Al 3.03
La3 0.5000 0.6771 0.8229  6 Ag 2.99-3.18
La4 0.5000 0.3229 0.1771  6 Ag 2.99-3.18
Ag4 0.0000 0.1279 0.3721  1 Ag 2.79, 2 La 2.99, 2 Al 3.03

Values from the calculation:
Space-group type = P4/mbm (127)
M_tot = 0.0 μB/f.u.
Total DFT energy (no corrections) = -31.67 eV per atom
Offset from the most stable computed form = 0.000 eV per atom
ΔE_f = -0.333 eV/atom

---

Material: La2AlAg2
Method: DFT, SCAN
State: PBEsol geometry

a b c (Å): 3.7609 3.7609 9.4535
angles (deg): 101.47 101.47 90.00
Last column: nearest neighbours and their distance in Å.
Positions (direct):
La1 0.6047 0.6047 0.2093  4 Ag 3.24, 4 Al 3.27
La2 0.3953 0.3953 0.7907  4 Ag 3.24, 4 Al 3.27
Ag1 0.2500 0.7500 0.5000  4 Ag 2.66
Ag2 0.7500 0.2500 0.5000  4 Ag 2.66
Al1 0.0000 0.0000 0.0000  8 La 3.27

Values from the calculation:
Space-group type = I4/mmm (139)
M_tot = 0.0 μB/f.u.
Total DFT energy (no corrections) = -31.50 eV per atom
Offset from the most stable computed form = 0.168 eV per atom
ΔE_f = -0.165 eV/atom

---

Material: LaAlAg2
Method: DFT, SCAN
State: PBEsol geometry

a b c (Å): 4.9356 4.9356 4.9356
angles (deg): 60.00 60.00 60.00
Last column: nearest neighbours and their distance in Å.
Positions (direct):
La1 0.0000 0.0000 0.0000  8 Ag 3.02
Ag1 0.2500 0.2500 0.2500  4 Al 3.02, 4 La 3.02
Al1 0.5000 0.5000 0.5000  8 Ag 3.02
Ag2 0.7500 0.7500 0.7500  4 Al 3.02, 4 La 3.02

Values from the calculation:
Space-group type = Fm-3m (225)
M_tot = 0.0 μB/f.u.
Total DFT energy (no corrections) = -28.71 eV per atom
ΔE_f = -0.312 eV/atom

---

Material: LaAlAg
Method: DFT, SCAN
State: PBEsol geometry

a b c (Å): 4.9472 4.9472 4.9472
angles (deg): 60.00 60.00 60.00
Last column: nearest neighbours and their distance in Å.
Positions (direct):
Al1 0.5000 0.5000 0.5000  4 La 3.03
Ag1 0.0000 0.0000 0.0000  4 La 3.03
La1 0.7500 0.7500 0.7500  4 Ag 3.03, 4 Al 3.03

Values from the calculation:
Space-group type = F-43m (216)
M_tot = 0.0 μB/f.u.
Total DFT energy (no corrections) = -27.09 eV per atom
ΔE_f = 0.322 eV/atom

---

Material: La2Al2Ag
Method: DFT, SCAN
State: PBEsol geometry

a b c (Å): 5.0076 6.9509 6.9509
angles (deg): 90.00 90.00 90.00
Last column: nearest neighbours and their distance in Å.
Positions (direct):
Ag1 0.0000 0.5000 0.5000  4 Al 2.69
Al1 0.0000 0.3610 0.8610  2 Ag 2.69, 1 Al 2.73
La1 0.5000 0.1646 0.6646  6 Al 3.16-3.28, 1 La 3.24
La2 0.5000 0.6646 0.8354  6 Al 3.16-3.28, 1 La 3.24
La3 0.5000 0.8354 0.3354  6 Al 3.16-3.28, 1 La 3.24
Ag2 0.0000 0.0000 0.0000  4 Al 2.69
Al2 0.0000 0.6390 0.1390  2 Ag 2.69, 1 Al 2.73
Al3 0.0000 0.1390 0.3610  2 Ag 2.69, 1 Al 2.73
La4 0.5000 0.3354 0.1646  6 Al 3.16-3.28, 1 La 3.24
Al4 0.0000 0.8610 0.6390  2 Ag 2.69, 1 Al 2.73

Values from the calculation:
Space-group type = P4/mbm (127)
M_tot = 0.0 μB/f.u.
Total DFT energy (no corrections) = -26.99 eV per atom
ΔE_f = -0.377 eV/atom

---

Material: La2AlAg
Method: DFT, SCAN
State: PBEsol geometry

a b c (Å): 3.6951 5.3590 5.3590
angles (deg): 90.11 90.00 90.00
Last column: nearest neighbours and their distance in Å.
Positions (direct):
Al1 0.5000 0.5000 0.5000  8 La 3.25
La1 0.0000 0.0000 0.5000  4 Al 3.25, 4 Ag 3.25
Ag1 0.5000 0.0000 0.0000  8 La 3.25
La2 0.0000 0.5000 0.0000  4 Ag 3.25, 4 Al 3.25

Values from the calculation:
Space-group type = Cmmm (65)
M_tot = 0.5 μB/f.u.
Total DFT energy (no corrections) = -31.64 eV per atom
ΔE_f = -0.312 eV/atom

---

Material: LaY2AlAg
Method: DFT, SCAN
State: PBEsol geometry

a b c (Å): 4.7723 5.5255 5.5255
angles (deg): 90.00 90.00 90.00
Last column: nearest neighbours and their distance in Å.
Positions (direct):
La1 0.5000 0.5000 0.5000  8 Y 3.65, 4 Ag 3.91
Y1 0.0000 0.5000 0.0000  2 Al 2.76
Ag1 0.5000 0.0000 0.0000  2 Al 2.39
Al1 0.0000 0.0000 0.0000  2 Ag 2.39
Y2 0.0000 0.0000 0.5000  2 Al 2.76

Values from the calculation:
Space-group type = P4/mmm (123)
M_tot = 3.1 μB/f.u.
Total DFT energy (no corrections) = -27.40 eV per atom
ΔE_f = 0.177 eV/atom